This record from the Alexandria database describes an optimized crystal structure of YNb2Sn2. The functional is PBE-GGA.

Results
Formation energy from the elements in eV/atom: 0.027
E above lowest polymorph in eV per atom: 0.322
Size of the total moment in Bohr magnetons per cell: 0.00
Space group: I4/mmm (139)
Crystal system: tetragonal

a b c (Å): 5.7396 5.7396 5.7396
angles (deg): 125.07 125.07 81.42
Last column: nearest neighbours and their distance in Å.
Positions (direct):
Y (0.0000, 0.0000, 0.0000)  2 Nb 3.13, 8 Sn 3.43
Nb (0.3593, 0.3593, 0.0000)  1 Nb 2.45
Nb (0.6407, 0.6407, 0.0000)  1 Nb 2.45
Sn (0.2500, 0.7500, 0.5000)  4 Nb 2.81
Sn (0.7500, 0.2500, 0.5000)  4 Nb 2.81

=====

This record from the Alexandria database describes an optimized crystal structure of Y2NbSn2. The functional is PBE-GGA.

Results
Formation energy from the elements in eV/atom: -0.430
Size of the total moment in Bohr magnetons per cell: 2.50
Space group: P4/mbm (127)
Crystal system: tetragonal

a b c (Å): 7.6192 7.6192 4.3935
angles (deg): 90.00 90.00 90.00
Last column: nearest neighbours and their distance in Å.
Positions (direct):
Y (0.1713, 0.3287, 0.0000)  6 Sn 3.01-3.23
Y (0.3287, 0.8287, 0.0000)  6 Sn 3.01-3.23
Y (0.6713, 0.1713, 0.0000)  6 Sn 3.01-3.23
Y (0.8287, 0.6713, 0.0000)  6 Sn 3.01-3.23
Nb (0.0000, 0.0000, 0.5000)  4 Sn 2.95
Nb (0.5000, 0.5000, 0.5000)  4 Sn 2.95
Sn (0.1379, 0.6379, 0.5000)  2 Nb 2.95, 1 Sn 2.97, 6 Y 3.01-3.23
Sn (0.3621, 0.1379, 0.5000)  2 Nb 2.95, 1 Sn 2.97, 6 Y 3.01-3.23
Sn (0.6379, 0.8621, 0.5000)  2 Nb 2.95, 1 Sn 2.97, 6 Y 3.01-3.23
Sn (0.8621, 0.3621, 0.5000)  2 Nb 2.95, 1 Sn 2.97, 6 Y 3.01-3.23

=====

This record from the Alexandria database describes an optimized crystal structure of YNbSn2. The functional is PBE-GGA.

Results
Formation energy from the elements in eV/atom: 0.123
E above lowest polymorph in eV per atom: 0.262
Size of the total moment in Bohr magnetons per cell: 0.00
Space group: R-3m (166)
Crystal system: trigonal

a b c (Å): 11.1493 11.1493 11.1493
angles (deg): 16.90 16.90 16.90
Last column: nearest neighbours and their distance in Å.
Positions (direct):
Y (0.0000, 0.0000, 0.0000)  2 Sn 3.16, 6 Y 3.28
Nb (0.5000, 0.5000, 0.5000)  6 Sn 3.01, 6 Nb 3.28
Sn (0.0958, 0.0958, 0.0958)  3 Nb 3.01, 1 Y 3.16, 6 Sn 3.28
Sn (0.9042, 0.9042, 0.9042)  3 Nb 3.01, 1 Y 3.16, 6 Sn 3.28

=====

This record from the Alexandria database describes an optimized crystal structure of YNb2Sn2. The functional is PBE-GGA.

Results
Formation energy from the elements in eV/atom: -0.175
E above lowest polymorph in eV per atom: 0.120
Size of the total moment in Bohr magnetons per cell: 0.00
Space group: P4/mbm (127)
Crystal system: tetragonal

a b c (Å): 7.7870 7.7870 3.6472
angles (deg): 90.00 90.00 90.00
Last column: nearest neighbours and their distance in Å.
Positions (direct):
Y (0.0000, 0.0000, 0.0000)  4 Sn 3.03
Y (0.5000, 0.5000, 0.0000)  4 Sn 3.03
Nb (0.1604, 0.3396, 0.5000)  6 Sn 2.90-2.94
Nb (0.3396, 0.8396, 0.5000)  6 Sn 2.90-2.94
Nb (0.6604, 0.1604, 0.5000)  6 Sn 2.90-2.94
Nb (0.8396, 0.6604, 0.5000)  6 Sn 2.90-2.94
Sn (0.1352, 0.6352, 0.0000)  6 Nb 2.90-2.94, 1 Sn 2.98, 2 Y 3.03
Sn (0.3648, 0.1352, 0.0000)  6 Nb 2.90-2.94, 1 Sn 2.98, 2 Y 3.03
Sn (0.6352, 0.8648, 0.0000)  6 Nb 2.90-2.94, 1 Sn 2.98, 2 Y 3.03
Sn (0.8648, 0.3648, 0.0000)  6 Nb 2.90-2.94, 1 Sn 2.98, 2 Y 3.03

=====

This record from the Alexandria database describes an optimized crystal structure of YNb2Sn2. The functional is PBE-GGA.

Results
Formation energy from the elements in eV/atom: -0.100
E above lowest polymorph in eV per atom: 0.195
Size of the total moment in Bohr magnetons per cell: 0.00
Space group: P4/mbm (127)
Crystal system: tetragonal

a b c (Å): 8.5300 8.5300 3.0771
angles (deg): 90.00 90.00 90.00
Last column: nearest neighbours and their distance in Å.
Positions (direct):
Y (0.0000, 0.0000, 0.0000)  2 Y 3.08
Y (0.5000, 0.5000, 0.0000)  2 Y 3.08
Nb (0.1116, 0.3884, 0.0000)  1 Nb 2.69, 6 Sn 2.93-2.99
Nb (0.3884, 0.8884, 0.0000)  1 Nb 2.69, 6 Sn 2.93-2.99
Nb (0.6116, 0.1116, 0.0000)  1 Nb 2.69, 6 Sn 2.93-2.99
Nb (0.8884, 0.6116, 0.0000)  1 Nb 2.69, 6 Sn 2.93-2.99
Sn (0.1813, 0.6813, 0.5000)  6 Nb 2.93-2.99, 2 Sn 3.08
Sn (0.3187, 0.1813, 0.5000)  6 Nb 2.93-2.99, 2 Sn 3.08
Sn (0.6813, 0.8187, 0.5000)  6 Nb 2.93-2.99, 2 Sn 3.08
Sn (0.8187, 0.3187, 0.5000)  6 Nb 2.93-2.99, 2 Sn 3.08

=====

This record from the Alexandria database describes an optimized crystal structure of YNbSn2. The functional is PBE-GGA.

Results
Formation energy from the elements in eV/atom: -0.139
E above lowest polymorph in eV per atom: 0.000
Size of the total moment in Bohr magnetons per cell: 1.59
Space group: Fm-3m (225)
Crystal system: cubic

a b c (Å): 5.0928 5.0928 5.0928
angles (deg): 60.00 60.00 60.00
Last column: nearest neighbours and their distance in Å.
Positions (direct):
Y (0.0000, 0.0000, 0.0000)  8 Sn 3.12
Nb (0.5000, 0.5000, 0.5000)  8 Sn 3.12
Sn (0.2500, 0.2500, 0.2500)  4 Nb 3.12, 4 Y 3.12
Sn (0.7500, 0.7500, 0.7500)  4 Y 3.12, 4 Nb 3.12

=====

This record from the Alexandria database describes an optimized crystal structure of YNbSn2. The functional is PBE-GGA.

Results
Formation energy from the elements in eV/atom: -0.078
E above lowest polymorph in eV per atom: 0.061
Size of the total moment in Bohr magnetons per cell: 0.00
Space group: I-42d (122)
Crystal system: tetragonal

a b c (Å): 6.4699 6.4699 6.4699
angles (deg): 103.98 103.98 121.12
Last column: nearest neighbours and their distance in Å.
Positions (direct):
Y (0.0000, 0.0000, 0.0000)  4 Sn 3.05, 2 Nb 3.18
Y (0.7500, 0.2500, 0.5000)  4 Sn 3.05, 2 Nb 3.18
Nb (0.2500, 0.7500, 0.5000)  4 Sn 2.81
Nb (0.5000, 0.5000, 0.0000)  4 Sn 2.81
Sn (0.1480, 0.6250, 0.0230)  2 Nb 2.81, 2 Y 3.05
Sn (0.3750, 0.3980, 0.5230)  2 Nb 2.81, 2 Y 3.05
Sn (0.6020, 0.1250, 0.9770)  2 Nb 2.81, 2 Y 3.05
Sn (0.8750, 0.8520, 0.4770)  2 Nb 2.81, 2 Y 3.05

=====

This record from the Alexandria database describes an optimized crystal structure of Y2NbSn. The functional is PBE-GGA.

Results
Formation energy from the elements in eV/atom: 0.329
Size of the total moment in Bohr magnetons per cell: 0.00
Space group: I-42d (122)
Crystal system: tetragonal

a b c (Å): 6.6113 6.6113 6.6113
angles (deg): 102.38 102.38 124.82
Last column: nearest neighbours and their distance in Å.
Positions (direct):
Y (0.1167, 0.1250, 0.4917)  2 Nb 2.98, 2 Y 3.06, 2 Sn 3.08
Y (0.3750, 0.8833, 0.0083)  2 Nb 2.98, 2 Y 3.06, 2 Sn 3.08
Y (0.6333, 0.6250, 0.5083)  2 Nb 2.98, 2 Y 3.06, 2 Sn 3.08
Y (0.8750, 0.3667, 0.9917)  2 Nb 2.98, 2 Y 3.06, 2 Sn 3.08
Nb (0.0000, 0.0000, 0.0000)  4 Y 2.98, 2 Sn 3.06
Nb (0.7500, 0.2500, 0.5000)  4 Y 2.98, 2 Sn 3.06
Sn (0.2500, 0.7500, 0.5000)  2 Nb 3.06, 4 Y 3.08
Sn (0.5000, 0.5000, 0.0000)  2 Nb 3.06, 4 Y 3.08

=====

This record from the Alexandria database describes an optimized crystal structure of YNbSn3. The functional is PBE-GGA.

Results
Formation energy from the elements in eV/atom: 0.200
E above lowest polymorph in eV per atom: 0.000
Size of the total moment in Bohr magnetons per cell: 0.00
Space group: Pm-3m (221)
Crystal system: cubic

a b c (Å): 5.3196 5.3196 5.3196
angles (deg): 90.00 90.00 90.00
Last column: nearest neighbours and their distance in Å.
Positions (direct):
Y (0.0000, 0.0000, 0.0000)  12 Sn 3.76
Nb (0.5000, 0.5000, 0.5000)  6 Sn 2.66
Sn (0.0000, 0.5000, 0.5000)  2 Nb 2.66
Sn (0.5000, 0.0000, 0.5000)  2 Nb 2.66
Sn (0.5000, 0.5000, 0.0000)  2 Nb 2.66

=====

This record from the Alexandria database describes an optimized crystal structure of YNb6Sn6. The functional is PBE-GGA.

Results
Formation energy from the elements in eV/atom: -0.322
Size of the total moment in Bohr magnetons per cell: 0.00
Space group: Immm (71)
Crystal system: orthorhombic

a b c (Å): 7.5417 7.5417 7.5417
angles (deg): 134.75 100.59 96.44
Last column: nearest neighbours and their distance in Å.
Positions (direct):
Y (0.0000, 0.0000, 0.0000)  8 Sn 3.15-3.35
Nb (0.0000, 0.0000, 0.5000)  4 Nb 2.90, 6 Sn 2.93-2.99
Nb (0.0000, 0.5000, 0.0000)  4 Nb 2.90, 6 Sn 2.93-2.99
Nb (0.2522, 0.5000, 0.7522)  4 Nb 2.90, 6 Sn 2.92-2.99
Nb (0.5000, 0.0000, 0.0000)  4 Nb 2.90, 6 Sn 2.93-2.99
Nb (0.5000, 0.5000, 0.5000)  4 Nb 2.90, 6 Sn 2.93-2.99
Nb (0.7478, 0.5000, 0.2478)  4 Nb 2.90, 6 Sn 2.92-2.99
Sn (0.1645, 0.6645, 0.5000)  6 Nb 2.94
Sn (0.3266, 0.0000, 0.3266)  6 Nb 2.99, 1 Y 3.15, 1 Sn 3.34
Sn (0.3331, 0.3331, 0.0000)  6 Nb 2.92-2.93
Sn (0.6669, 0.6669, 0.0000)  6 Nb 2.92-2.93
Sn (0.6734, 0.0000, 0.6734)  6 Nb 2.99, 1 Y 3.15, 1 Sn 3.34
Sn (0.8355, 0.3355, 0.5000)  6 Nb 2.94

=====

This record from the Alexandria database describes an optimized crystal structure of YNb3Sn. The functional is PBE-GGA.

Results
Formation energy from the elements in eV/atom: 1.782
E above lowest polymorph in eV per atom: 0.576
Size of the total moment in Bohr magnetons per cell: 0.00
Space group: Pm-3m (221)
Crystal system: cubic

a b c (Å): 4.9612 4.9612 4.9612
angles (deg): 90.00 90.00 90.00
Last column: nearest neighbours and their distance in Å.
Positions (direct):
Y (0.0000, 0.0000, 0.0000)  6 Nb 2.48
Nb (0.0000, 0.0000, 0.5000)  2 Y 2.48
Nb (0.0000, 0.5000, 0.0000)  2 Y 2.48
Nb (0.5000, 0.0000, 0.0000)  2 Y 2.48
Sn (0.5000, 0.5000, 0.5000)  12 Nb 3.51

=====

This record from the Alexandria database describes an optimized crystal structure of Y2Nb2Sn. The functional is PBE-GGA.

Results
Formation energy from the elements in eV/atom: -0.027
Size of the total moment in Bohr magnetons per cell: 0.00
Space group: P4/mbm (127)
Crystal system: tetragonal

a b c (Å): 7.4077 7.4077 4.4627
angles (deg): 90.00 90.00 90.00
Last column: nearest neighbours and their distance in Å.
Positions (direct):
Y (0.1748, 0.3252, 0.0000)  6 Nb 3.07-3.17
Y (0.3252, 0.8252, 0.0000)  6 Nb 3.07-3.17
Y (0.6748, 0.1748, 0.0000)  6 Nb 3.07-3.17
Y (0.8252, 0.6748, 0.0000)  6 Nb 3.07-3.17
Nb (0.1240, 0.6240, 0.5000)  1 Nb 2.60
Nb (0.3760, 0.1240, 0.5000)  1 Nb 2.60
Nb (0.6240, 0.8760, 0.5000)  1 Nb 2.60
Nb (0.8760, 0.3760, 0.5000)  1 Nb 2.60
Sn (0.0000, 0.0000, 0.5000)  4 Nb 2.93
Sn (0.5000, 0.5000, 0.5000)  4 Nb 2.93

=====

This record from the Alexandria database describes an optimized crystal structure of YNb3Sn. The functional is PBE-GGA.

Results
Formation energy from the elements in eV/atom: 1.206
E above lowest polymorph in eV per atom: 0.000
Size of the total moment in Bohr magnetons per cell: 0.00
Space group: Pm-3m (221)
Crystal system: cubic

a b c (Å): 5.1149 5.1149 5.1149
angles (deg): 90.00 90.00 90.00
Last column: nearest neighbours and their distance in Å.
Positions (direct):
Y (0.0000, 0.0000, 0.0000)  12 Nb 3.62
Nb (0.0000, 0.5000, 0.5000)  2 Sn 2.56
Nb (0.5000, 0.0000, 0.5000)  2 Sn 2.56
Nb (0.5000, 0.5000, 0.0000)  2 Sn 2.56
Sn (0.5000, 0.5000, 0.5000)  6 Nb 2.56

=====

Number 1: E -6.89 eV per atom. Number 2: E -6.63 eV per atom. Number 3: E -6.01 eV per atom. Number 4: E -7.10 eV per atom. Number 5: E -7.02 eV per atom. Number 6: E -6.27 eV per atom. Number 7: E -6.21 eV per atom. Number 8: E -6.42 eV per atom. Number 9: E -5.51 eV per atom. Number 10: E -7.31 eV per atom. Number 11: E -6.35 eV per atom. Number 12: E -7.44 eV per atom. Number 13: E -6.93 eV per atom.